# 1
Compound: ScAg2Hg
Source: OQMD via LeMat-Bulk
Functional: PBE-GGA
Structure: optimized geometry

Summary:
- ΔE_f: -0.22 eV/atom
- Volume: 77.1 Å³/cell
- Crystal system: cubic

Cell lengths 4.7764, 4.7764, 4.7764 Å; angles 60.00, 60.00, 60.00 degrees
Closest atoms and distances in Å follow each position.
Element x y z (fractional)
Ag1 0.2500 0.2500 0.2500  4 Ag 2.92, 4 Sc 2.92
Sc1 0.0000 0.0000 0.0000  4 Hg 2.92, 4 Ag 2.92
Hg1 0.7500 0.7500 0.7500  4 Ag 2.92, 4 Sc 2.92
Ag2 0.5000 0.5000 0.5000  4 Hg 2.92, 4 Ag 2.92

# 2
Compound: SiAg2HgTeSe3
Source: OQMD via LeMat-Bulk
Functional: PBE-GGA
Structure: optimized geometry

Summary:
- E_tot: -26.73 eV for the cell shown
- Volume: 222.5 Å³/cell
- Crystal system: monoclinic

Cell lengths 6.0517, 6.0517, 7.4127 Å; angles 114.06, 114.06, 89.24 degrees
Closest atoms and distances in Å follow each position.
Element x y z (fractional)
Te1 0.1541 0.1541 0.7507  1 Si 2.55, 2 Ag 2.77, 1 Hg 2.84
Se1 0.8400 0.4000 0.2401  1 Si 2.32
Se2 0.4000 0.8400 0.2401  1 Si 2.32
Hg1 0.9963 0.9963 0.9977  3 Se 2.74-2.80, 1 Te 2.84
Se3 0.6104 0.6104 0.7781  1 Si 2.32
Si1 0.5150 0.5150 0.0139  3 Se 2.32, 1 Te 2.55
Ag1 0.7264 0.2577 0.4896  3 Se 2.64-2.66, 1 Te 2.77
Ag2 0.2577 0.7264 0.4896  3 Se 2.64-2.66, 1 Te 2.77

Question: Among the records above, which one has the highest volume?
Answer: SiAg2HgTeSe3

Question: Which formula does entry 1 have?
Answer: ScAg2Hg

Question: Among the records above, which one has the lowest volume?
Answer: ScAg2Hg